# Nb2NiOsF

Nb2NiOsF after structural relaxation (PBE+U, Alexandria).

Properties
E   -5.99 eV per atom
Symmetry   No. 123

a = 4.8255 Å, b = 4.5156 Å, c = 4.8255 Å
α = 90.00°, β = 90.00°, γ = 90.00°
Element x y z (fractional)
Ni 0.0000 0.5000 0.0000
Nb 0.0000 0.0000 0.5000
Nb 0.5000 0.0000 0.0000
Os 0.0000 0.0000 0.0000
F 0.5000 0.5000 0.5000